VASP calculation (GGA-PBE) on MgP2IrS after structural relaxation.

Calculated values
**Theoretical density**: 5.32 g cm⁻³
**DOS at the Fermi energy**: 1.013 states/eV per atom
**Final energy**: -18.608 eV/cell
**Uncorrected formation energy**: 1.36 eV/atom
**ΔE to the lowest computed polymorph**: 1046 meV/atom

a b c (Å): 4.5991 4.5991 4.5805
angles (deg): 90.00 90.00 90.00
Closest atoms and distances in Å follow each position.
Atoms (fractional coordinates):
Mg  0.0000  0.0000  0.0000  2 S 2.29, 4 P 2.30
P  0.0000  0.5000  0.0000  2 Mg 2.30
P  0.5000  0.0000  0.0000  2 Mg 2.30
Ir  0.5000  0.5000  0.5000  8 P 3.25, 4 S 3.25
S  0.0000  0.0000  0.5000  2 Mg 2.29